Record 1
First-principles (PBE-GGA) data for a relaxed HfScPaMo crystal, as listed in the Alexandria database.

Calculated values
Total magnetic moment: 0.00 μB per formula unit
DFT formation energy: 0.1191 eV/atom

Unit cell a=6.9346 b=6.9346 c=6.9346 alpha=90.00 beta=90.00 gamma=90.00
Closest atoms and distances in Å follow each position.
Space group F-43m (No. 216)
Symmetry-distinct sites (fractional):
Hf 0.0000 0.0000 0.0000 x4  4 Pa 3.00, 4 Sc 3.00
Sc 0.2500 0.2500 0.7500 x4  4 Hf 3.00, 4 Mo 3.00
Pa 0.2500 0.2500 0.2500 x4  4 Hf 3.00, 4 Mo 3.00
Mo 0.0000 0.0000 0.5000 x4  4 Pa 3.00, 4 Sc 3.00


Record 2
First-principles (PBE-GGA) data for a relaxed Y2Cd5Hg crystal, as listed in the Alexandria database.

Calculated values
Total magnetic moment: 0.00 μB per formula unit
DFT formation energy: -0.2808 eV/atom

Unit cell a=6.5929 b=13.1700 c=4.4673 alpha=90.00 beta=90.00 gamma=90.00
Closest atoms and distances in Å follow each position.
Space group Pbam (No. 55)
Symmetry-distinct sites (fractional):
Y 0.2352 0.1214 0.0000 x4  2 Hg 3.15, 10 Cd 3.24-3.30
Cd 0.0000 0.5000 0.5000 x2  6 Cd 3.21-3.26, 4 Y 3.25, 2 Hg 3.30
Cd 0.0129 0.7475 0.5000 x4  7 Cd 3.18-3.30, 4 Y 3.24-3.26, 1 Hg 3.33
Cd 0.2357 0.3710 0.0000 x4  6 Cd 3.18-3.22, 4 Y 3.29-3.30, 2 Hg 3.30
Hg 0.0000 0.0000 0.5000 x2  4 Y 3.15, 8 Cd 3.30-3.33


Record 3
First-principles (PBE-GGA) data for a relaxed PCl2 crystal, as listed in the Alexandria database.

Calculated values
Formation energy from raw total energies: 0.103 eV per atom
Total magnetic moment: 0.00 μB per formula unit

Unit cell a=3.0411 b=28.1700 c=3.4667 alpha=90.00 beta=90.00 gamma=90.00
Closest atoms and distances in Å follow each position.
Space group Cmcm (No. 63)
Symmetry-distinct sites (fractional):
P 0.0000 0.1260 0.2500 x4  2 Cl 2.37
Cl 0.0000 0.1833 0.7500 x4  2 P 2.37
Cl 0.0000 0.4293 0.2500 x4  4 P 2.78, 2 Cl 3.04


Record 4
First-principles (PBE-GGA) data for a relaxed Hf2Cu2Re crystal, as listed in the Alexandria database.

Calculated values
Total magnetic moment: 0.00 μB per formula unit
DFT formation energy: -0.0179 eV/atom

Unit cell a=6.7809 b=6.7809 c=3.5690 alpha=90.00 beta=90.00 gamma=90.00
Closest atoms and distances in Å follow each position.
Space group P4/mbm (No. 127)
Symmetry-distinct sites (fractional):
Hf 0.1865 0.3135 0.0000 x4  6 Cu 2.57-2.78
Cu 0.1204 0.6204 0.5000 x4  1 Cu 2.31, 2 Hf 2.57
Re 0.0000 0.0000 0.5000 x2  4 Cu 2.70


Record 5
First-principles (PBE-GGA) data for a relaxed TlP2H6 crystal, as listed in the Alexandria database.

Calculated values
Total magnetic moment: 0.00 μB per formula unit
Final energy: -3.645 eV/atom

Unit cell a=9.9978 b=9.9821 c=6.4002 alpha=90.00 beta=117.51 gamma=90.00
Closest atoms and distances in Å follow each position.
Space group C2/c (No. 15)
Symmetry-distinct sites (fractional):
Tl 0.0000 0.0393 0.2500 x4  4 H 3.05-3.30, 2 Tl 3.29, 2 P 3.32
P 0.1949 0.3593 0.1356 x8  3 H 1.43-1.45
H 0.0528 0.2980 0.9765 x8  1 P 1.45
H 0.1297 0.4436 0.2449 x8  1 P 1.43
H 0.2310 0.2546 0.3050 x8  1 P 1.43


Record 6
First-principles (PBE-GGA) data for a relaxed La2AsC crystal, as listed in the Alexandria database.

Calculated values
Total magnetic moment: 0.00 μB per formula unit
DFT formation energy: -0.4568 eV/atom

Unit cell a=7.2816 b=7.2816 c=7.7154 alpha=90.00 beta=90.00 gamma=90.00
Closest atoms and distances in Å follow each position.
Space group I-42d (No. 122)
Symmetry-distinct sites (fractional):
La 0.1915 0.2500 0.1250 x8  2 C 2.49
As 0.0000 0.0000 0.5000 x4  4 La 3.05
C 0.0000 0.0000 0.0000 x4  4 La 2.49


Record 7
First-principles (PBE-GGA) data for a relaxed Ac6Nd8Tm crystal, as listed in the Alexandria database.

Calculated values
Total magnetic moment: 0.00 μB per formula unit
DFT formation energy: 0.3805 eV/atom

Unit cell a=8.2809 b=8.2809 c=31.1965 alpha=90.00 beta=90.00 gamma=120.00
Closest atoms and distances in Å follow each position.
Space group R-3 (No. 148, hexagonal axes)
Symmetry-distinct sites (fractional):
Ac 0.0054 0.4621 0.2676 x18  1 Tm 3.20, 1 Nd 3.56
Nd 0.0000 0.0000 0.2918 x6  3 Nd 3.75, 6 Ac 3.88-4.10
Nd 0.0537 0.7961 0.1891 x18  5 Nd 3.31-3.47, 1 Ac 3.56
Tm 0.0000 0.0000 0.0000 x3  6 Ac 3.20


Record 8
First-principles (PBE-GGA) data for a relaxed LaReHRh crystal, as listed in the Alexandria database.

Calculated values
Total magnetic moment: 0.00 μB per formula unit
Final energy: -6.973 eV/atom

Unit cell a=2.9704 b=3.0053 c=13.8539 alpha=90.00 beta=90.00 gamma=90.00
Closest atoms and distances in Å follow each position.
Space group Imm2 (No. 44)
Symmetry-distinct sites (fractional):
La 0.0000 0.0000 0.0000 x2  2 H 2.42
Re 0.0000 0.0000 0.3256 x2  4 Rh 2.66, 2 Re 2.97
H 0.0000 0.5000 0.1371 x2  2 Rh 1.79
Rh 0.0000 0.0000 0.7093 x2  2 H 1.79


Record 9
First-principles (PBE-GGA) data for a relaxed HfNbP2 crystal, as listed in the Alexandria database.

Calculated values
Total magnetic moment: 0.00 μB per formula unit
DFT formation energy: -0.7637 eV/atom

Unit cell a=6.3407 b=6.3407 c=6.3407 alpha=90.00 beta=90.00 gamma=90.00
Closest atoms and distances in Å follow each position.
Space group Fm-3m (No. 225)
Symmetry-distinct sites (fractional):
Hf 0.0000 0.0000 0.0000 x4  8 P 2.75
Nb 0.0000 0.0000 0.5000 x4  8 P 2.75
P 0.2500 0.2500 0.2500 x8  4 Hf 2.75, 4 Nb 2.75


Record 10
First-principles (PBE-GGA) data for a relaxed SiGeTeI2 crystal, as listed in the Alexandria database.

Calculated values
Formation energy from raw total energies: 0.466 eV per atom
Total magnetic moment: 0.18 μB per formula unit

Unit cell a=5.4084 b=5.4084 c=5.5657 alpha=90.00 beta=90.00 gamma=90.00
Closest atoms and distances in Å follow each position.
Space group P4/mmm (No. 123)
Symmetry-distinct sites (fractional):
Si 0.0000 0.0000 0.0000 x1  4 I 2.70, 2 Te 2.78
Ge 0.5000 0.5000 0.5000 x1  4 Te 3.82, 8 I 3.88
Te 0.0000 0.0000 0.5000 x1  2 Si 2.78
I 0.0000 0.5000 0.0000 x2  2 Si 2.70


Record 11
First-principles (PBE-GGA) data for a relaxed Dy12Ho6Th crystal, as listed in the Alexandria database.

Calculated values
Total magnetic moment: 0.00 μB per formula unit
DFT formation energy: 0.2191 eV/atom

Unit cell a=13.2980 b=13.2980 c=12.1712 alpha=90.00 beta=90.00 gamma=120.00
Closest atoms and distances in Å follow each position.
Space group R-3m (No. 166, hexagonal axes)
Symmetry-distinct sites (fractional):
Dy 0.0000 0.2563 0.0000 x18  4 Ho 3.33-3.61, 6 Dy 3.33-3.53
Dy 0.0901 0.1803 0.7564 x18  6 Dy 3.33-3.60
Ho 0.0398 0.5199 0.1255 x18  3 Ho 3.19-3.53, 2 Dy 3.33, 1 Th 3.42
Th 0.0000 0.0000 0.5000 x3  6 Ho 3.42, 6 Dy 3.75


Record 12
First-principles (PBE-GGA) data for a relaxed CoSbBr2 crystal, as listed in the Alexandria database.

Calculated values
Formation energy from raw total energies: -0.033 eV per atom
Total magnetic moment: 1.72 μB per formula unit

Unit cell a=3.6327 b=3.6327 c=8.7362 alpha=90.00 beta=90.00 gamma=90.00
Closest atoms and distances in Å follow each position.
Space group P4mm (No. 99)
Symmetry-distinct sites (fractional):
Co 0.0000 0.0000 0.0000 x1  1 Br 2.27
Sb 0.5000 0.5000 0.9335 x1  1 Br 2.52, 4 Co 2.63
Br 0.0000 0.0000 0.2600 x1  1 Co 2.27
Br 0.5000 0.5000 0.6447 x1  1 Sb 2.52


Question: Number 2 is which compound?
Answer: Y2Cd5Hg